First-principles (PBE) data for CuOs2Rh2 after structural relaxation, as listed in Alexandria.

Unit cell a=3.555 b=3.555 c=6.841 alpha=74.94 beta=74.94 gamma=90.00
Positions (direct):
Rh 0.599 0.599 0.801
Os 0.250 0.750 0.500
Cu 0.000 0.000 0.000
Os 0.750 0.250 0.500
Rh 0.401 0.401 0.199

Summary:
Calculated total energy   -38.11 eV for the cell shown
Total moment   0.0 Bohr magnetons per cell